SrCu2Tc: relaxed, PBE.

abc: 2.8659 4.9588 9.8439
angles: 90.00 90.00 90.00
Space group Imm2 (No. 44)
Asymmetric unit:
Sr1 0.0000 0.0000 0.0000 x2
Cu1 0.0000 0.0000 0.4838 x2
Cu2 0.0000 0.5000 0.7741 x2
Tc1 0.0000 0.5000 0.2115 x2

Calculated values
For the density, the calculation gives 7.4 g/cm3. Its formation energy is 2.5 eV per formula unit.